GaNiIr2Se: relaxed, PBE.

The formation energy without anion corrections comes out at 1.141 eV/atom.

The structure belongs to space group P4/mmm (No. 123); the cell edges are 4.6066, 4.6066 and 4.3124 Å and the angles 90.00°, 90.00° and 90.00°. The distinct sites, in fractional coordinates, are Ga at (0.0000, 0.0000, 0.0000), Ni at (0.0000, 0.0000, 0.5000), Ir at (0.0000, 0.5000, 0.0000) and Se at (0.5000, 0.5000, 0.5000).

Hg2WBr: relaxed, PBE.

The formation energy without anion corrections comes out at 1.138 eV/atom. As for the distance to the lowest polymorph of the same formula: 0.642 eV per atom.

The structure belongs to space group I4/mmm (No. 139); the cell edges are 4.1500, 4.1500 and 10.6539 Å and the angles 90.00°, 90.00° and 90.00°. The distinct sites, in fractional coordinates, are Hg at (0.0000, 0.5000, 0.2500), W at (0.0000, 0.0000, 0.0000) and Br at (0.0000, 0.0000, 0.5000).

LaYP3: relaxed, PBE.

As for the distance to the lowest polymorph of the same formula: 0.000 eV per atom.

The structure belongs to space group Pm-3m (No. 221); the cell edges are 5.1448, 5.1448 and 5.1448 Å and the angles 90.00°, 90.00° and 90.00°. The distinct sites, in fractional coordinates, are La at (0.0000, 0.0000, 0.0000), Y at (0.5000, 0.5000, 0.5000) and P at (0.0000, 0.5000, 0.5000).

Cd6InAu3: relaxed, PBE.

The structure belongs to space group P2_1/m (No. 11); the cell edges are 8.5973, 4.6324 and 11.1982 Å and the angles 90.00°, 94.69° and 90.00°. The distinct sites, in fractional coordinates, are Cd at (0.0293, 0.2500, 0.4133), Cd at (0.0914, 0.2500, 0.9531), Cd at (0.1402, 0.7500, 0.2702), Cd at (0.2253, 0.7500, 0.7949), Cd at (0.3363, 0.7500, 0.5258), Cd at (0.4402, 0.2500, 0.0802), In at (0.4934, 0.2500, 0.7339), Au at (0.1738, 0.2500, 0.6517), Au at (0.2582, 0.7500, 0.0441) and Au at (0.3513, 0.2500, 0.3581).

Zr5CuPb3: relaxed, PBE.

The structure belongs to space group P6_3/mcm (No. 193); the cell edges are 8.8136, 8.8136 and 5.9426 Å and the angles 90.00°, 90.00° and 120.00°. The distinct sites, in fractional coordinates, are Zr at (0.0000, 0.2594, 0.2500), Zr at (0.3333, 0.6667, 0.0000), Cu at (0.0000, 0.0000, 0.0000) and Pb at (0.0000, 0.3860, 0.7500).

ZrTlMo2: relaxed, PBE.

As for the distance to the lowest polymorph of the same formula: 0.171 eV per atom.

The structure belongs to space group P4/mmm (No. 123); the cell edges are 4.1110, 4.1110 and 4.4212 Å and the angles 90.00°, 90.00° and 90.00°. The distinct sites, in fractional coordinates, are Zr at (0.0000, 0.0000, 0.0000), Tl at (0.5000, 0.5000, 0.0000) and Mo at (0.0000, 0.5000, 0.5000).

Tb3SiGe2Pt9: relaxed, PBE.

The formation energy without anion corrections comes out at -0.655 eV/atom.

The structure belongs to space group P-3m1 (No. 164); the cell edges are 6.5986, 6.5986 and 8.3710 Å and the angles 90.00°, 90.00° and 120.00°. The distinct sites, in fractional coordinates, are Tb at (0.0000, 0.0000, 0.0000), Tb at (0.3333, 0.6667, 0.7207), Si at (0.0000, 0.0000, 0.5000), Ge at (0.3333, 0.6667, 0.2001), Pt at (0.0000, 0.5000, 0.0000) and Pt at (0.1383, 0.2766, 0.2873).

TaNiRh2: relaxed, PBE.

The structure belongs to space group I4/mmm (No. 139); the cell edges are 3.9333, 3.9333 and 7.3784 Å and the angles 90.00°, 90.00° and 90.00°. The distinct sites, in fractional coordinates, are Ta at (0.0000, 0.0000, 0.0000), Ni at (0.0000, 0.0000, 0.5000) and Rh at (0.0000, 0.5000, 0.2500).

Number 1: uncorrected energy -4.862 eV per atom, mass density 10.7 g cm⁻³. Number 2: uncorrected energy -2.669 eV per atom, mass density 12.0 g cm⁻³. Number 3: uncorrected energy -5.847 eV per atom, mass density 3.9 g cm⁻³. Number 4: uncorrected energy -1.935 eV per atom, mass density 10.3 g cm⁻³. Number 5: uncorrected energy -6.730 eV per atom, mass density 9.5 g cm⁻³. Number 6: uncorrected energy -7.830 eV per atom, mass density 10.8 g cm⁻³. Number 7: uncorrected energy -6.183 eV per atom, mass density 12.7 g cm⁻³. Number 8: uncorrected energy -8.529 eV per atom, mass density 13.0 g cm⁻³.